1.
Cs2AsSe2 | PBE | optimized geometry

Formation energy (no corrections), meV per atom: -784

Cell and atoms, written as CIF:
```
data_Cs2AsSe2
_chemical_formula_sum 'Cs8 As4 Se8'
_cell_length_a 10.695
_cell_length_b 9.530
_cell_length_c 8.871
_cell_angle_alpha 90.00
_cell_angle_beta 104.87
_cell_angle_gamma 90.00
_space_group_name_H-M_alt 'P 1'
_space_group_IT_number 1
_space_group_name_Hall 'P 1'
loop_
_atom_site_label
_atom_site_type_symbol
_atom_site_fract_x
_atom_site_fract_y
_atom_site_fract_z
Cs1 Cs 0.070 0.232 0.044
Cs2 Cs 0.070 0.268 0.544
Cs3 Cs 0.372 0.691 0.005
Cs4 Cs 0.372 0.809 0.505
Cs5 Cs 0.628 0.191 0.495
Cs6 Cs 0.628 0.309 0.995
Cs7 Cs 0.930 0.732 0.456
Cs8 Cs 0.930 0.768 0.956
As1 As 0.329 0.094 0.872
As2 As 0.329 0.406 0.372
As3 As 0.671 0.594 0.628
As4 As 0.671 0.906 0.128
Se1 Se 0.155 0.567 0.256
Se2 Se 0.155 0.933 0.756
Se3 Se 0.398 0.057 0.141
Se4 Se 0.398 0.443 0.641
Se5 Se 0.602 0.557 0.359
Se6 Se 0.602 0.943 0.859
Se7 Se 0.845 0.067 0.244
Se8 Se 0.845 0.433 0.744
```

=====

2.
Tl2TcCl5O | PBE | optimized geometry

Formation energy (no corrections), meV per atom: -919

Cell and atoms, written as CIF:
```
data_Tl2TcCl5O
_chemical_formula_sum 'Tl2 Tc1 Cl5 O1'
_cell_length_a 6.919
_cell_length_b 6.919
_cell_length_c 6.919
_cell_angle_alpha 116.11
_cell_angle_beta 116.11
_cell_angle_gamma 96.87
_space_group_name_H-M_alt 'P 1'
_space_group_IT_number 1
_space_group_name_Hall 'P 1'
loop_
_atom_site_label
_atom_site_type_symbol
_atom_site_fract_x
_atom_site_fract_y
_atom_site_fract_z
Tl1 Tl 0.000 0.500 0.500
Tl2 Tl 0.500 0.000 0.500
Tc1 Tc 0.235 0.235 0.000
Cl1 Cl 0.024 0.024 0.536
Cl2 Cl 0.024 0.487 0.000
Cl3 Cl 0.487 0.024 0.000
Cl4 Cl 0.487 0.487 0.464
Cl5 Cl 0.501 0.501 0.000
O1 O 0.051 0.051 0.000
```

=====

3.
MnBe2Re | PBE | optimized geometry

Energy of formation from the pure elements, eV/atom: 0.05
Energy above the most stable polymorph in this dataset, meV per atom: 167

Cell and atoms, written as CIF:
```
data_MnBe2Re
_chemical_formula_sum 'Mn1 Be2 Re1'
_cell_length_a 2.525
_cell_length_b 3.671
_cell_length_c 4.898
_cell_angle_alpha 90.00
_cell_angle_beta 104.12
_cell_angle_gamma 90.00
_space_group_name_H-M_alt 'P 1'
_space_group_IT_number 1
_space_group_name_Hall 'P 1'
loop_
_atom_site_label
_atom_site_type_symbol
_atom_site_fract_x
_atom_site_fract_y
_atom_site_fract_z
Mn1 Mn 0.000 0.000 0.000
Be1 Be 0.233 0.500 0.763
Be2 Be 0.767 0.500 0.237
Re1 Re 0.500 0.000 0.500
```

=====

4.
TcBr | PBE | optimized geometry

Energy above the most stable polymorph in this dataset, meV per atom: 804
Formation energy (no corrections), meV per atom: 847

Cell and atoms, written as CIF:
```
data_TcBr
_chemical_formula_sum 'Tc2 Br2'
_cell_length_a 3.142
_cell_length_b 3.142
_cell_length_c 8.530
_cell_angle_alpha 90.00
_cell_angle_beta 90.00
_cell_angle_gamma 120.00
_space_group_name_H-M_alt 'P 1'
_space_group_IT_number 1
_space_group_name_Hall 'P 1'
loop_
_atom_site_label
_atom_site_type_symbol
_atom_site_fract_x
_atom_site_fract_y
_atom_site_fract_z
Tc1 Tc 0.333 0.667 0.000
Tc2 Tc 0.667 0.333 0.500
Br1 Br 0.333 0.667 0.715
Br2 Br 0.667 0.333 0.215
```

=====

5.
FeBiSeN2 | PBE | optimized geometry

Energy above the most stable polymorph in this dataset, meV per atom: 891
Formation energy (no corrections), meV per atom: 1802

Cell and atoms, written as CIF:
```
data_FeBiSeN2
_chemical_formula_sum 'Fe1 Bi1 Se1 N2'
_cell_length_a 4.235
_cell_length_b 4.235
_cell_length_c 5.835
_cell_angle_alpha 90.00
_cell_angle_beta 90.00
_cell_angle_gamma 90.00
_space_group_name_H-M_alt 'P 1'
_space_group_IT_number 1
_space_group_name_Hall 'P 1'
loop_
_atom_site_label
_atom_site_type_symbol
_atom_site_fract_x
_atom_site_fract_y
_atom_site_fract_z
Fe1 Fe 0.000 0.000 0.000
Bi1 Bi 0.500 0.500 0.500
Se1 Se 0.500 0.500 0.000
N1 N 0.000 0.500 0.500
N2 N 0.500 0.000 0.500
```

=====

6.
GaB2Sb | PBE | optimized geometry

Energy above the most stable polymorph in this dataset, meV per atom: 721
Formation energy (no corrections), meV per atom: 1405

Cell and atoms, written as CIF:
```
data_GaB2Sb
_chemical_formula_sum 'Ga1 B2 Sb1'
_cell_length_a 4.359
_cell_length_b 4.359
_cell_length_c 4.359
_cell_angle_alpha 60.00
_cell_angle_beta 60.00
_cell_angle_gamma 60.00
_space_group_name_H-M_alt 'P 1'
_space_group_IT_number 1
_space_group_name_Hall 'P 1'
loop_
_atom_site_label
_atom_site_type_symbol
_atom_site_fract_x
_atom_site_fract_y
_atom_site_fract_z
Ga1 Ga 0.000 0.000 0.000
B1 B 0.250 0.250 0.250
B2 B 0.750 0.750 0.750
Sb1 Sb 0.500 0.500 0.500
```

=====

7.
ZrTcI | PBE | optimized geometry

Energy above the most stable polymorph in this dataset, meV per atom: 392
Formation energy (no corrections), meV per atom: -25

Cell and atoms, written as CIF:
```
data_ZrTcI
_chemical_formula_sum 'Zr2 Tc2 I2'
_cell_length_a 9.452
_cell_length_b 9.452
_cell_length_c 5.047
_cell_angle_alpha 100.05
_cell_angle_beta 100.05
_cell_angle_gamma 23.06
_space_group_name_H-M_alt 'P 1'
_space_group_IT_number 1
_space_group_name_Hall 'P 1'
loop_
_atom_site_label
_atom_site_type_symbol
_atom_site_fract_x
_atom_site_fract_y
_atom_site_fract_z
Zr1 Zr 0.000 0.000 0.000
Zr2 Zr 0.541 0.541 0.514
Tc1 Tc 0.130 0.130 0.813
Tc2 Tc 0.617 0.617 0.113
I1 I 0.389 0.389 0.185
I2 I 0.720 0.720 0.582
```

=====

8.
NdTmPaO6 | PBE | optimized geometry

Formation energy (no corrections), meV per atom: -3173

Cell and atoms, written as CIF:
```
data_NdTmPaO6
_chemical_formula_sum 'Nd1 Tm1 Pa1 O6'
_cell_length_a 5.851
_cell_length_b 5.851
_cell_length_c 4.697
_cell_angle_alpha 90.00
_cell_angle_beta 90.00
_cell_angle_gamma 120.00
_space_group_name_H-M_alt 'P 1'
_space_group_IT_number 1
_space_group_name_Hall 'P 1'
loop_
_atom_site_label
_atom_site_type_symbol
_atom_site_fract_x
_atom_site_fract_y
_atom_site_fract_z
Nd1 Nd 0.000 0.000 0.000
Tm1 Tm 0.667 0.333 0.000
Pa1 Pa 0.333 0.667 0.500
O1 O 0.009 0.359 0.754
O2 O 0.009 0.650 0.246
O3 O 0.350 0.359 0.246
O4 O 0.350 0.991 0.754
O5 O 0.641 0.650 0.754
O6 O 0.641 0.991 0.246
```

=====

9.
SiTeIr2 | PBE | optimized geometry

Energy above the most stable polymorph in this dataset, meV per atom: 576
Formation energy (no corrections), meV per atom: 373

Cell and atoms, written as CIF:
```
data_SiTeIr2
_chemical_formula_sum 'Si1 Te1 Ir2'
_cell_length_a 5.226
_cell_length_b 5.226
_cell_length_c 5.226
_cell_angle_alpha 136.85
_cell_angle_beta 136.85
_cell_angle_gamma 62.67
_space_group_name_H-M_alt 'P 1'
_space_group_IT_number 1
_space_group_name_Hall 'P 1'
loop_
_atom_site_label
_atom_site_type_symbol
_atom_site_fract_x
_atom_site_fract_y
_atom_site_fract_z
Si1 Si 0.000 0.000 0.000
Te1 Te 0.250 0.750 0.500
Ir1 Ir 0.500 0.500 0.000
Ir2 Ir 0.750 0.250 0.500
```

=====

10.
Nd4In12Ru | PBE | optimized geometry

Energy of formation from the pure elements, eV/atom: -0.42

Cell and atoms, written as CIF:
```
data_Nd4In12Ru
_chemical_formula_sum 'Nd4 In12 Ru1'
_cell_length_a 8.238
_cell_length_b 8.238
_cell_length_c 8.238
_cell_angle_alpha 109.47
_cell_angle_beta 109.47
_cell_angle_gamma 109.47
_space_group_name_H-M_alt 'P 1'
_space_group_IT_number 1
_space_group_name_Hall 'P 1'
loop_
_atom_site_label
_atom_site_type_symbol
_atom_site_fract_x
_atom_site_fract_y
_atom_site_fract_z
Nd1 Nd 0.000 0.000 0.500
Nd2 Nd 0.000 0.500 0.000
Nd3 Nd 0.500 0.000 0.000
Nd4 Nd 0.500 0.500 0.500
In1 In 0.000 0.280 0.280
In2 In 0.000 0.720 0.720
In3 In 0.250 0.500 0.750
In4 In 0.250 0.750 0.500
In5 In 0.280 0.000 0.280
In6 In 0.280 0.280 0.000
In7 In 0.500 0.250 0.750
In8 In 0.500 0.750 0.250
In9 In 0.720 0.000 0.720
In10 In 0.720 0.720 0.000
In11 In 0.750 0.250 0.500
In12 In 0.750 0.500 0.250
Ru1 Ru 0.000 0.000 0.000
```

=====

11.
HgSbSe2 | PBE | optimized geometry

Energy above the most stable polymorph in this dataset, meV per atom: 148
Formation energy (no corrections), meV per atom: -2

Cell and atoms, written as CIF:
```
data_HgSbSe2
_chemical_formula_sum 'Hg1 Sb1 Se2'
_cell_length_a 2.996
_cell_length_b 5.928
_cell_length_c 5.948
_cell_angle_alpha 90.00
_cell_angle_beta 96.15
_cell_angle_gamma 90.00
_space_group_name_H-M_alt 'P 1'
_space_group_IT_number 1
_space_group_name_Hall 'P 1'
loop_
_atom_site_label
_atom_site_type_symbol
_atom_site_fract_x
_atom_site_fract_y
_atom_site_fract_z
Hg1 Hg 0.000 0.000 0.000
Sb1 Sb 0.960 0.500 0.508
Se1 Se 0.054 0.500 0.970
Se2 Se 0.940 0.000 0.489
```

=====

12.
CePm2Ho3S6 | PBE | optimized geometry

Formation energy (no corrections), meV per atom: -2013

Cell and atoms, written as CIF:
```
data_CePm2Ho3S6
_chemical_formula_sum 'Ce1 Pm2 Ho3 S6'
_cell_length_a 8.875
_cell_length_b 8.875
_cell_length_c 7.986
_cell_angle_alpha 103.80
_cell_angle_beta 103.80
_cell_angle_gamma 25.57
_space_group_name_H-M_alt 'P 1'
_space_group_IT_number 1
_space_group_name_Hall 'P 1'
loop_
_atom_site_label
_atom_site_type_symbol
_atom_site_fract_x
_atom_site_fract_y
_atom_site_fract_z
Ce1 Ce 0.000 0.000 0.000
Pm1 Pm 0.334 0.334 0.669
Pm2 Pm 0.666 0.666 0.331
Ho1 Ho 0.000 0.000 0.500
Ho2 Ho 0.333 0.333 0.165
Ho3 Ho 0.667 0.667 0.835
S1 S 0.164 0.164 0.592
S2 S 0.170 0.170 0.076
S3 S 0.497 0.497 0.258
S4 S 0.503 0.503 0.742
S5 S 0.830 0.830 0.924
S6 S 0.836 0.836 0.408
```

=====

The following energy values (in eV/cell) correspond, in order, to the records above: -69.0 -37.6 -28.9 -20.7 -23.5 -14.9 -41.1 -77.0 -24.8 -68.3 -11.4 -78.1.
The following calculated volume values (in A^3/atom) correspond, in order, to the records above: 43.69 27.33 11.01 18.23 20.93 14.64 28.97 15.47 16.48 25.31 26.26 21.94.